Record 1
NaNiN2: optimized geometry, GGA-PBEsol. Values from VASP.

Calculated values
**Magnetic moment**: 0.00 Bohr magnetons per cell
**Total energy**: -5.69 eV/atom
**Volume**: 12.0 Å³ per atom
**N(E_F)**: 4.67 states/eV per cell

```
&SYSTEM
  ibrav = 0, nat = 8, ntyp = 3
/
ATOMIC_SPECIES
Na 22.99 Na.upf
Ni 58.69 Ni.upf
N 14.01 N.upf
CELL_PARAMETERS angstrom
-2.662 2.662 3.386
2.662 -2.662 3.386
2.662 2.662 -3.386
ATOMIC_POSITIONS crystal
Na 0.000 0.000 0.000
Na 0.750 0.250 0.500
Ni 0.250 0.750 0.500
Ni 0.500 0.500 0.000
N 0.226 0.625 0.101
N 0.375 0.476 0.601
N 0.524 0.125 0.899
N 0.875 0.774 0.399
```

Record 2
NaNiN2: optimized geometry, GGA-PBEsol. Values from VASP.

Calculated values
**Magnetic moment**: 0.00 Bohr magnetons per cell
**Total energy**: -5.08 eV/atom
**Volume**: 8.7 Å³ per atom
**N(E_F)**: 1.08 states/eV per cell

```
&SYSTEM
  ibrav = 0, nat = 4, ntyp = 3
/
ATOMIC_SPECIES
Na 22.99 Na.upf
Ni 58.69 Ni.upf
N 14.01 N.upf
CELL_PARAMETERS angstrom
0.000 2.588 2.588
2.588 0.000 2.588
2.588 2.588 0.000
ATOMIC_POSITIONS crystal
Na 0.000 0.000 0.000
Ni 0.500 0.500 0.500
N 0.250 0.250 0.250
N 0.750 0.750 0.750
```

Record 3
NaNiN2O: optimized geometry, GGA-PBEsol. Values from VASP.

Calculated values
**Magnetic moment**: 7.01 Bohr magnetons per cell
**Total energy**: -3.58 eV/atom
**Volume**: 13.8 Å³ per atom
**N(E_F)**: 5.34 states/eV per cell

```
&SYSTEM
  ibrav = 0, nat = 5, ntyp = 4
/
ATOMIC_SPECIES
Na 22.99 Na.upf
Ni 58.69 Ni.upf
N 14.01 N.upf
O 16.00 O.upf
CELL_PARAMETERS angstrom
4.157 0.000 0.000
0.000 4.157 0.000
0.000 0.000 3.997
ATOMIC_POSITIONS crystal
Na 0.000 0.000 0.000
Ni 0.500 0.500 0.500
N 0.000 0.500 0.000
N 0.500 0.000 0.000
O 0.000 0.000 0.500
```

Record 4
NaNiNO2: optimized geometry, GGA-PBEsol. Values from VASP.

Calculated values
**Magnetic moment**: 6.00 Bohr magnetons per cell
**Total energy**: -3.64 eV/atom
**Volume**: 13.0 Å³ per atom
**N(E_F)**: 5.46 states/eV per cell

```
&SYSTEM
  ibrav = 0, nat = 5, ntyp = 4
/
ATOMIC_SPECIES
Na 22.99 Na.upf
Ni 58.69 Ni.upf
N 14.01 N.upf
O 16.00 O.upf
CELL_PARAMETERS angstrom
3.976 0.000 0.000
0.000 3.976 0.000
0.000 0.000 4.104
ATOMIC_POSITIONS crystal
Na 0.000 0.000 0.000
Ni 0.500 0.500 0.500
N 0.000 0.000 0.500
O 0.000 0.500 0.000
O 0.500 0.000 0.000
```

Record 5
NaReNO2: optimized geometry, GGA-PBEsol. Values from VASP.

Calculated values
**Magnetic moment**: 0.00 Bohr magnetons per cell
**Total energy**: -7.90 eV/atom
**Volume**: 11.4 Å³ per atom
**N(E_F)**: 1.03 states/eV per cell

```
&SYSTEM
  ibrav = 0, nat = 5, ntyp = 4
/
ATOMIC_SPECIES
Na 22.99 Na.upf
Re 186.21 Re.upf
N 14.01 N.upf
O 16.00 O.upf
CELL_PARAMETERS angstrom
3.856 0.000 0.000
0.000 3.856 0.000
0.000 0.000 3.845
ATOMIC_POSITIONS crystal
Na 0.000 0.000 0.000
Re 0.500 0.500 0.500
N 0.500 0.500 0.000
O 0.000 0.500 0.500
O 0.500 0.000 0.500
```

Record 6
NaReN2O: optimized geometry, GGA-PBEsol. Values from VASP.

Calculated values
**Magnetic moment**: 3.84 Bohr magnetons per cell
**Total energy**: -4.92 eV/atom
**Volume**: 11.4 Å³ per atom
**N(E_F)**: 2.79 states/eV per cell

```
&SYSTEM
  ibrav = 0, nat = 5, ntyp = 4
/
ATOMIC_SPECIES
Na 22.99 Na.upf
Re 186.21 Re.upf
N 14.01 N.upf
O 16.00 O.upf
CELL_PARAMETERS angstrom
3.897 0.000 0.000
0.000 3.897 0.000
0.000 0.000 3.749
ATOMIC_POSITIONS crystal
Na 0.000 0.000 0.000
Re 0.500 0.500 0.500
N 0.000 0.500 0.000
N 0.500 0.000 0.000
O 0.000 0.000 0.500
```

Record 7
NaSNO2: optimized geometry, GGA-PBEsol. Values from VASP.

Calculated values
**Magnetic moment**: 0.00 Bohr magnetons per cell
**Total energy**: -4.96 eV/atom
**Volume**: 9.1 Å³ per atom
**N(E_F)**: 1.96 states/eV per cell

```
&SYSTEM
  ibrav = 0, nat = 5, ntyp = 4
/
ATOMIC_SPECIES
Na 22.99 Na.upf
S 32.06 S.upf
N 14.01 N.upf
O 16.00 O.upf
CELL_PARAMETERS angstrom
3.725 0.000 0.000
0.000 3.725 0.000
0.000 0.000 3.284
ATOMIC_POSITIONS crystal
Na 0.000 0.000 0.000
S 0.500 0.500 0.500
N 0.500 0.500 0.000
O 0.000 0.500 0.500
O 0.500 0.000 0.500
```

Record 8
NaSN2O: optimized geometry, GGA-PBEsol. Values from VASP.

Calculated values
**Magnetic moment**: 2.91 Bohr magnetons per cell
**Total energy**: -3.92 eV/atom
**Volume**: 12.1 Å³ per atom
**N(E_F)**: 2.16 states/eV per cell

```
&SYSTEM
  ibrav = 0, nat = 5, ntyp = 4
/
ATOMIC_SPECIES
Na 22.99 Na.upf
S 32.06 S.upf
N 14.01 N.upf
O 16.00 O.upf
CELL_PARAMETERS angstrom
3.971 0.000 0.000
0.000 3.971 0.000
0.000 0.000 3.822
ATOMIC_POSITIONS crystal
Na 0.000 0.000 0.000
S 0.500 0.500 0.000
N 0.000 0.500 0.500
N 0.500 0.000 0.500
O 0.500 0.500 0.500
```